## RbNiN2F (PBE with a Hubbard U)

Data for RbNiN2F after structural relaxation.

Values from the calculation:
DOS(E_F) ... 6.3 states/eV/cell
M_tot ... 2.9 μB per formula unit
Energy relative to the lowest polymorph listed for this composition ... 1646 meV/atom

a = 5.1190 Å, b = 5.1190 Å, c = 4.9051 Å
α = 90.00°, β = 90.00°, γ = 90.00°
Closest atoms and distances in Å follow each position.
Space group P4/mmm (No. 123)
Symmetry-distinct sites (fractional):
Rb  0.0000  0.0000  0.0000 (multiplicity 1)  2 F 2.45, 4 N 2.56
Ni  0.5000  0.5000  0.5000 (multiplicity 1)  8 N 3.54, 4 F 3.62
N  0.0000  0.5000  0.0000 (multiplicity 2)  2 Rb 2.56
F  0.0000  0.0000  0.5000 (multiplicity 1)  2 Rb 2.45